! PBE-GGA Nd4AsPtI2, relaxed; values from VASP
! Space group: P2/m
! M_tot in μB per cell: 0.00
&SYSTEM
  ibrav = 0, nat = 8, ntyp = 4
/
ATOMIC_SPECIES
Nd 144.24 Nd.upf
As 74.92 As.upf
Pt 195.08 Pt.upf
I 126.90 I.upf
CELL_PARAMETERS angstrom
7.7362 0.0000 0.0000
0.0000 4.2240 0.0000
-2.3579 0.0000 7.7310
ATOMIC_POSITIONS crystal
Nd 0.2155 0.0000 0.1914
Nd 0.2661 0.5000 0.8011
Nd 0.7339 0.5000 0.1989
Nd 0.7845 0.0000 0.8086
As 0.5000 0.0000 0.0000
Pt 0.0000 0.5000 0.0000
I 0.0000 0.0000 0.5000
I 0.5000 0.5000 0.5000

! PBE-GGA TeSN2F, relaxed; values from VASP
! Space group: P4/mmm
! M_tot in μB per cell: 0.00
! Polymorph energy (0 for the lowest one) in meV per atom: 147
&SYSTEM
  ibrav = 0, nat = 5, ntyp = 4
/
ATOMIC_SPECIES
Te 127.60 Te.upf
S 32.06 S.upf
N 14.01 N.upf
F 19.00 F.upf
CELL_PARAMETERS angstrom
4.1553 0.0000 0.0000
0.0000 4.1553 0.0000
0.0000 0.0000 4.1259
ATOMIC_POSITIONS crystal
Te 0.0000 0.0000 0.0000
S 0.5000 0.5000 0.5000
N 0.0000 0.5000 0.0000
N 0.5000 0.0000 0.0000
F 0.0000 0.0000 0.5000

Values for energy relative to the elements, uncorrected, eV/atom, ordered as above
-1.17, 1.25
Values for energy, eV per atom, ordered as above
-5.275, -3.907